# NdCuSeS

A relaxed NdCuSeS crystal (GGA-PBE, Alexandria via LeMat-Bulk). Values from VASP.

Results
SG   R-3m
Density   5.78 g/cm3
Total moment   0.0 μB per cell
ΔE_f (raw)   -4.82 eV/f.u.

Quantum ESPRESSO input file:
```
&SYSTEM
  ibrav = 0, nat = 8, ntyp = 4
/
ATOMIC_SPECIES
Nd 144.24 Nd.upf
Cu 63.55 Cu.upf
Se 78.96 Se.upf
S 32.06 S.upf
CELL_PARAMETERS angstrom
2.192 1.266 11.006
-2.192 1.266 11.006
0.000 -2.531 11.006
ATOMIC_POSITIONS angstrom
Nd 0.000 0.000 3.489
Nd 0.000 0.000 29.529
Cu 0.000 0.000 9.977
Cu 0.000 0.000 23.041
Se 0.000 0.000 12.530
Se 0.000 0.000 20.488
S 0.000 0.000 6.519
S 0.000 0.000 26.499
```